A plane-wave DFT calculation with GGA+U was carried out for a relaxed Li3VCr3O8 crystal.

The structure in CIF format:
```
data_Li3VCr3O8
_space_group_name_H-M_alt 'P 1'
_space_group_IT_number 1
_cell_length_a 5.1983
_cell_length_b 7.8415
_cell_length_c 7.8643
_cell_angle_alpha 94.50
_cell_angle_beta 109.09
_cell_angle_gamma 95.96
loop_
_space_group_symop_operation_xyz
'x,y,z'
loop_
_atom_site_label
_atom_site_fract_x
_atom_site_fract_y
_atom_site_fract_z
Li1 0.0000 0.0000 0.0000
Li2 0.1154 0.3908 0.1181
Li3 0.3740 0.1344 0.3701
Li4 0.4925 0.5147 0.4818
Li5 0.6145 0.8849 0.6079
Li6 0.8588 0.6138 0.8570
V1 0.1706 0.0728 0.6771
V2 0.4256 0.8165 0.9340
Cr1 0.0630 0.6959 0.5501
Cr2 0.3098 0.4433 0.7957
Cr3 0.5667 0.1960 0.0489
Cr4 0.6833 0.5726 0.1790
Cr5 0.8086 0.9445 0.3025
Cr6 0.9222 0.3207 0.4272
O1 0.0471 0.8558 0.7699
O2 0.0585 0.5317 0.3386
O3 0.1841 0.2207 0.8854
O4 0.1992 0.9276 0.4793
O5 0.2950 0.6069 0.0044
O6 0.2971 0.2821 0.5816
O7 0.4287 0.9806 0.1382
O8 0.4463 0.6639 0.7143
O9 0.5410 0.3535 0.2611
O10 0.5521 0.0179 0.8386
O11 0.6902 0.4172 0.9673
O12 0.6896 0.7303 0.3966
O13 0.7990 0.0985 0.5161
O14 0.7995 0.7906 0.0821
O15 0.9313 0.4862 0.6385
O16 0.9415 0.1617 0.2117
```

Spin magnetization, μB per formula unit: 10.00
Total energy, Ry per atom: -0.518